Density functional theory data (GGA-PBEsol) for YReRu2Br after structural relaxation.

Cell: 4.5263 4.5263 4.5745 Å, 90.00 90.00 90.00°
Last column: nearest neighbours and their distance in Å.
Element x y z (fractional)
Br 0.0000 0.0000 0.0000  4 Ru 2.26, 2 Re 2.29
Ru 0.0000 0.5000 0.0000  2 Br 2.26
Ru 0.5000 0.0000 0.0000  2 Br 2.26
Y 0.5000 0.5000 0.5000  4 Re 3.20, 8 Ru 3.22
Re 0.0000 0.0000 0.5000  2 Br 2.29

**Energy relative to the elements, uncorrected**: 5.53 eV/f.u.
**Space group**: P4/mmm
**Magnetic moment**: 0.000 μB per atom

***

Density functional theory data (GGA-PBEsol) for Re3S4Br after structural relaxation.

Cell: 6.3325 10.2882 11.3725 Å, 90.00 90.00 100.74°
Last column: nearest neighbours and their distance in Å.
Element x y z (fractional)
S 0.5726 0.8436 0.0638  4 Re 2.40-2.51
S 0.0726 0.3436 0.4362  4 Re 2.40-2.51
S 0.6990 0.3452 0.6695  3 Re 2.38-2.40
S 0.8010 0.1548 0.1695  3 Re 2.38-2.40
S 0.4664 0.7555 0.6015  3 Re 2.38-2.40
S 0.9274 0.6564 0.5638  4 Re 2.40-2.51
S 0.0336 0.7445 0.1015  3 Re 2.38-2.40
S 0.4274 0.1564 0.9362  4 Re 2.40-2.51
S 0.2618 0.0397 0.2137  3 Re 2.38-2.39
S 0.9664 0.2555 0.8985  3 Re 2.38-2.40
S 0.5336 0.2445 0.3985  3 Re 2.38-2.40
S 0.2382 0.4603 0.7137  3 Re 2.38-2.39
S 0.3010 0.6548 0.3305  3 Re 2.38-2.40
S 0.7618 0.5397 0.2863  3 Re 2.38-2.39
S 0.1990 0.8452 0.8305  3 Re 2.38-2.40
S 0.7382 0.9603 0.7863  3 Re 2.38-2.39
Br 0.7908 0.8963 0.3655  2 Re 2.58-2.59
Br 0.7092 0.6037 0.8655  2 Re 2.58-2.59
Br 0.2092 0.1037 0.6345  2 Re 2.58-2.59
Br 0.2908 0.3963 0.1345  2 Re 2.58-2.59
Re 0.3750 0.3383 0.5617  4 S 2.38-2.40, 1 Br 2.58, 4 Re 2.59-2.63
Re 0.5908 0.5553 0.6492  4 S 2.38-2.40, 4 Re 2.59-2.63, 1 Br 2.59
Re 0.8750 0.8383 0.9383  4 S 2.38-2.40, 1 Br 2.58, 4 Re 2.59-2.63
Re 0.6250 0.6617 0.4383  4 S 2.38-2.40, 1 Br 2.58, 4 Re 2.59-2.63
Re 0.4092 0.4447 0.3508  4 S 2.38-2.40, 4 Re 2.59-2.63, 1 Br 2.59
Re 0.7512 0.4389 0.4764  5 S 2.38-2.51, 4 Re 2.60
Re 0.2488 0.5611 0.5236  5 S 2.38-2.51, 4 Re 2.60
Re 0.1250 0.1617 0.0617  4 S 2.38-2.40, 1 Br 2.58, 4 Re 2.59-2.63
Re 0.0908 0.0553 0.8508  4 S 2.38-2.40, 4 Re 2.59-2.63, 1 Br 2.59
Re 0.2512 0.9389 0.0236  5 S 2.38-2.51, 4 Re 2.60
Re 0.7488 0.0611 0.9764  5 S 2.38-2.51, 4 Re 2.60
Re 0.9092 0.9447 0.1492  4 S 2.38-2.40, 4 Re 2.59-2.63, 1 Br 2.59

**Energy relative to the elements, uncorrected**: -4.70 eV/f.u.
**Space group**: P2_1/c
**Magnetic moment**: 0.000 μB per atom

***

Density functional theory data (GGA-PBEsol) for ScReSBr2 after structural relaxation.

Cell: 4.6467 4.6467 5.5686 Å, 90.00 90.00 90.00°
Last column: nearest neighbours and their distance in Å.
Element x y z (fractional)
Br 0.0000 0.5000 0.0000  2 Re 2.32
Br 0.5000 0.0000 0.0000  2 Re 2.32
Re 0.0000 0.0000 0.0000  4 Br 2.32
Sc 0.0000 0.0000 0.5000  2 Re 2.78
S 0.5000 0.5000 0.5000  4 Sc 3.29, 8 Br 3.63

**Energy relative to the elements, uncorrected**: 1.82 eV/f.u.
**Space group**: P4/mmm
**Magnetic moment**: 0.000 μB per atom

***

Density functional theory data (GGA-PBEsol) for ScReBr2 after structural relaxation.

Cell: 3.2264 5.6239 5.6914 Å, 90.94 106.47 90.00°
Last column: nearest neighbours and their distance in Å.
Element x y z (fractional)
Sc 0.7830 0.8412 0.5660  2 Re 2.58, 3 Br 2.81
Br 0.2662 0.2481 0.5325  1 Re 2.45
Br 0.0401 0.8240 0.0801  2 Re 2.51, 1 Sc 2.81
Re 0.4107 0.5867 0.8214  3 Br 2.45-2.51, 2 Sc 2.58

**Energy relative to the elements, uncorrected**: 0.10 eV/f.u.
**Space group**: Cm
**Magnetic moment**: 0.000 μB per atom

***

Density functional theory data (GGA-PBEsol) for ScReSi2Br after structural relaxation.

Cell: 4.5441 4.5441 5.3573 Å, 90.00 90.00 90.00°
Last column: nearest neighbours and their distance in Å.
Element x y z (fractional)
Br 0.0000 0.0000 0.5000  2 Re 2.68
Si 0.0000 0.5000 0.0000  2 Re 2.27
Si 0.5000 0.0000 0.0000  2 Re 2.27
Re 0.0000 0.0000 0.0000  4 Si 2.27
Sc 0.5000 0.5000 0.5000  4 Br 3.21, 8 Si 3.51

**Energy relative to the elements, uncorrected**: 2.36 eV/f.u.
**Space group**: P4/mmm
**Magnetic moment**: 0.000 μB per atom

***

Density functional theory data (GGA-PBEsol) for ReSe4Br after structural relaxation.

Cell: 5.5863 5.5863 5.5863 Å, 60.00 60.00 60.00°
Last column: nearest neighbours and their distance in Å.
Element x y z (fractional)
Br 0.7500 0.7500 0.7500  12 Se 3.28, 4 Re 3.42
Re 0.0000 0.0000 0.0000  12 Se 3.27, 4 Br 3.42
Se 0.3735 0.3735 0.8796  6 Se 2.76-2.83
Se 0.8796 0.3735 0.3735  6 Se 2.76-2.83
Se 0.3735 0.3735 0.3735  6 Se 2.76-2.83
Se 0.3735 0.8796 0.3735  6 Se 2.76-2.83

**Energy relative to the elements, uncorrected**: 7.15 eV/f.u.
**Space group**: F-43m
**Magnetic moment**: 0.671 μB per atom

***

Density functional theory data (GGA-PBEsol) for Re3Se4Br after structural relaxation.

Cell: 6.5559 10.7123 11.7228 Å, 90.00 90.00 101.84°
Last column: nearest neighbours and their distance in Å.
Element x y z (fractional)
Se 0.2976 0.6458 0.3194  3 Re 2.51-2.52
Se 0.7652 0.5277 0.2807  3 Re 2.51
Se 0.0253 0.7353 0.0909  3 Re 2.51-2.52
Se 0.2348 0.4723 0.7193  3 Re 2.51
Se 0.4747 0.7647 0.5909  3 Re 2.51-2.52
Se 0.9747 0.2647 0.9091  3 Re 2.51-2.52
Se 0.7024 0.3542 0.6806  3 Re 2.51-2.52
Se 0.4391 0.1651 0.9416  4 Re 2.52-2.64
Se 0.7976 0.1458 0.1806  3 Re 2.51-2.52
Se 0.0609 0.3349 0.4416  4 Re 2.52-2.64
Se 0.5609 0.8349 0.0584  4 Re 2.52-2.64
Se 0.7348 0.9723 0.7807  3 Re 2.51
Se 0.9391 0.6651 0.5584  4 Re 2.52-2.64
Se 0.5253 0.2353 0.4091  3 Re 2.51-2.52
Se 0.2652 0.0277 0.2193  3 Re 2.51
Se 0.2024 0.8542 0.8194  3 Re 2.51-2.52
Br 0.7109 0.6219 0.8522  2 Re 2.60-2.61
Br 0.2109 0.1219 0.6478  2 Re 2.60-2.61
Br 0.2891 0.3781 0.1478  2 Re 2.60-2.61
Br 0.7891 0.8781 0.3522  2 Re 2.60-2.61
Re 0.4077 0.4374 0.3564  4 Se 2.51-2.52, 1 Br 2.61, 4 Re 2.61-2.66
Re 0.2561 0.5590 0.5195  5 Se 2.51-2.64, 4 Re 2.62-2.63
Re 0.1250 0.1538 0.0681  4 Se 2.51-2.52, 1 Br 2.60, 4 Re 2.61-2.66
Re 0.6250 0.6538 0.4319  4 Se 2.51-2.52, 1 Br 2.60, 4 Re 2.61-2.66
Re 0.7561 0.0590 0.9805  5 Se 2.51-2.64, 4 Re 2.62-2.63
Re 0.0923 0.0626 0.8564  4 Se 2.51-2.52, 1 Br 2.61, 4 Re 2.61-2.66
Re 0.7439 0.4410 0.4805  5 Se 2.51-2.64, 4 Re 2.62-2.63
Re 0.3750 0.3462 0.5681  4 Se 2.51-2.52, 1 Br 2.60, 4 Re 2.61-2.66
Re 0.8750 0.8462 0.9319  4 Se 2.51-2.52, 1 Br 2.60, 4 Re 2.61-2.66
Re 0.2439 0.9410 0.0195  5 Se 2.51-2.64, 4 Re 2.62-2.63
Re 0.5923 0.5626 0.6436  4 Se 2.51-2.52, 1 Br 2.61, 4 Re 2.61-2.66
Re 0.9077 0.9374 0.1436  4 Se 2.51-2.52, 1 Br 2.61, 4 Re 2.61-2.66

**Energy relative to the elements, uncorrected**: -3.52 eV/f.u.
**Space group**: P2_1/c
**Magnetic moment**: 0.000 μB per atom

***

Density functional theory data (GGA-PBEsol) for SrReSe2Br after structural relaxation.

Cell: 4.8334 4.8334 5.3398 Å, 90.00 90.00 90.00°
Last column: nearest neighbours and their distance in Å.
Element x y z (fractional)
Sr 0.5000 0.5000 0.5000  4 Br 3.42, 8 Se 3.60
Se 0.0000 0.5000 0.0000  2 Re 2.42
Se 0.5000 0.0000 0.0000  2 Re 2.42
Re 0.0000 0.0000 0.0000  4 Se 2.42, 2 Br 2.67
Br 0.0000 0.0000 0.5000  2 Re 2.67

**Energy relative to the elements, uncorrected**: -2.14 eV/f.u.
**Space group**: P4/mmm
**Magnetic moment**: 0.000 μB per atom

***

Density functional theory data (GGA-PBEsol) for TaReSeBr2 after structural relaxation.

Cell: 4.9727 5.0851 5.0851 Å, 90.00 90.00 90.00°
Last column: nearest neighbours and their distance in Å.
Element x y z (fractional)
Br 0.0000 0.0000 0.5000  2 Ta 2.54
Br 0.0000 0.5000 0.0000  2 Ta 2.54
Ta 0.0000 0.0000 0.0000  2 Se 2.49, 4 Br 2.54
Re 0.5000 0.5000 0.5000  8 Br 3.56, 4 Se 3.60
Se 0.5000 0.0000 0.0000  2 Ta 2.49

**Energy relative to the elements, uncorrected**: 5.86 eV/f.u.
**Space group**: P4/mmm
**Magnetic moment**: 1.083 μB per atom

***

Density functional theory data (GGA-PBEsol) for TlRe2SeBr after structural relaxation.

Cell: 4.5949 4.5949 6.3899 Å, 90.00 90.00 90.00°
Last column: nearest neighbours and their distance in Å.
Element x y z (fractional)
Re 0.5000 0.0000 0.0000  2 Se 2.30
Re 0.0000 0.5000 0.0000  2 Se 2.30
Se 0.0000 0.0000 0.0000  4 Re 2.30
Br 0.5000 0.5000 0.5000  4 Tl 3.25
Tl 0.0000 0.0000 0.5000  2 Se 3.19, 4 Br 3.25

**Energy relative to the elements, uncorrected**: 8.02 eV/f.u.
**Space group**: P4/mmm
**Magnetic moment**: 0.856 μB per atom

***

Density functional theory data (GGA-PBEsol) for ReWSeBr2 after structural relaxation.

Cell: 4.8101 5.1273 5.1273 Å, 90.00 90.00 90.00°
Last column: nearest neighbours and their distance in Å.
Element x y z (fractional)
Br 0.0000 0.5000 0.0000  2 W 2.56
Br 0.0000 0.0000 0.5000  2 W 2.56
Re 0.5000 0.5000 0.5000  8 Br 3.52, 4 Se 3.63
Se 0.5000 0.0000 0.0000  2 W 2.41
W 0.0000 0.0000 0.0000  2 Se 2.41, 4 Br 2.56

**Energy relative to the elements, uncorrected**: 7.78 eV/f.u.
**Space group**: P4/mmm
**Magnetic moment**: 0.851 μB per atom

***

Density functional theory data (GGA-PBEsol) for ReSi2Br after structural relaxation.

Cell: 3.1665 3.1665 7.8034 Å, 78.29 78.29 60.00°
Last column: nearest neighbours and their distance in Å.
Element x y z (fractional)
Br 0.5000 0.5000 0.5000  6 Si 2.82
Si 0.7391 0.7391 0.7826  3 Re 2.46
Si 0.2609 0.2609 0.2174  3 Re 2.46
Re 0.0000 0.0000 0.0000  6 Si 2.46

**Energy relative to the elements, uncorrected**: 0.60 eV/f.u.
**Space group**: R-3m
**Magnetic moment**: 0.000 μB per atom

***

Density functional theory data (GGA-PBEsol) for ReSi2Br after structural relaxation.

Cell: 2.9799 2.9799 8.9049 Å, 80.37 80.37 60.00°
Last column: nearest neighbours and their distance in Å.
Element x y z (fractional)
Br 0.5149 0.5149 0.4554  3 Re 2.63
Si 0.9930 0.9930 0.0211  3 Re 2.50, 3 Si 2.62
Si 0.7348 0.7348 0.7955  3 Si 2.62
Re 0.2573 0.2573 0.2280  3 Si 2.50, 3 Br 2.63

**Energy relative to the elements, uncorrected**: 1.76 eV/f.u.
**Space group**: R3m
**Magnetic moment**: 0.000 μB per atom

***

Density functional theory data (GGA-PBEsol) for ReSi2Br after structural relaxation.

Cell: 2.7274 4.8133 4.8133 Å, 90.00 90.00 90.00°
Last column: nearest neighbours and their distance in Å.
Element x y z (fractional)
Re 0.5000 0.0000 0.0000  2 Re 2.73, 8 Si 2.77
Br 0.5000 0.5000 0.5000  2 Br 2.73, 8 Si 2.77
Si 0.0000 0.0000 0.5000  2 Si 2.73, 4 Re 2.77, 4 Br 2.77
Si 0.0000 0.5000 0.0000  2 Si 2.73, 4 Re 2.77, 4 Br 2.77

**Energy relative to the elements, uncorrected**: 3.13 eV/f.u.
**Space group**: P4/mmm
**Magnetic moment**: 0.000 μB per atom

***

Density functional theory data (GGA-PBEsol) for ReSi2Br after structural relaxation.

Cell: 4.0222 4.0222 4.6829 Å, 115.43 115.43 90.00°
Last column: nearest neighbours and their distance in Å.
Element x y z (fractional)
Br 0.5000 0.5000 0.0000  8 Si 2.74, 4 Re 2.84
Si 0.2500 0.7500 0.5000  4 Br 2.74, 4 Re 2.74, 4 Si 2.84
Si 0.7500 0.2500 0.5000  4 Re 2.74, 4 Br 2.74, 4 Si 2.84
Re 0.0000 0.0000 0.0000  8 Si 2.74, 4 Br 2.84

**Energy relative to the elements, uncorrected**: 3.11 eV/f.u.
**Space group**: I4/mmm
**Magnetic moment**: 0.000 μB per atom

***

Density functional theory data (GGA-PBEsol) for TiRe2SnBr after structural relaxation.

Cell: 4.7274 4.7274 4.6971 Å, 90.00 90.00 90.00°
Last column: nearest neighbours and their distance in Å.
Element x y z (fractional)
Br 0.0000 0.0000 0.5000  2 Ti 2.35
Re 0.5000 0.0000 0.0000  2 Ti 2.36
Re 0.0000 0.5000 0.0000  2 Ti 2.36
Ti 0.0000 0.0000 0.0000  2 Br 2.35, 4 Re 2.36
Sn 0.5000 0.5000 0.5000  8 Re 3.33, 4 Br 3.34

**Energy relative to the elements, uncorrected**: 7.87 eV/f.u.
**Space group**: P4/mmm
**Magnetic moment**: 0.533 μB per atom

***

Density functional theory data (GGA-PBEsol) for SrRe2Br after structural relaxation.

Cell: 3.1812 3.1812 8.1989 Å, 90.00 90.00 90.00°
Last column: nearest neighbours and their distance in Å.
Element x y z (fractional)
Re 0.0000 0.0000 0.0544  4 Re 2.55
Re 0.5000 0.5000 0.2018  4 Re 2.55
Br 0.5000 0.5000 0.7511  4 Sr 3.09, 4 Br 3.18, 4 Re 3.35
Sr 0.0000 0.0000 0.4927  4 Br 3.09, 4 Sr 3.18, 4 Re 3.28

**Energy relative to the elements, uncorrected**: 0.91 eV/f.u.
**Space group**: P4mm
**Magnetic moment**: 0.000 μB per atom

***

Density functional theory data (GGA-PBEsol) for SrRe2Br after structural relaxation.

Cell: 2.9535 2.9535 9.8678 Å, 81.39 81.39 60.00°
Last column: nearest neighbours and their distance in Å.
Element x y z (fractional)
Sr 0.5000 0.5000 0.5000  6 Sr 2.95, 6 Re 3.20
Re 0.2597 0.2597 0.2208  3 Br 2.74, 6 Re 2.95
Re 0.7403 0.7403 0.7792  3 Br 2.74, 6 Re 2.95
Br 0.0000 0.0000 0.0000  6 Re 2.74, 6 Br 2.95

**Energy relative to the elements, uncorrected**: 5.52 eV/f.u.
**Space group**: R-3m
**Magnetic moment**: 0.000 μB per atom

***

Density functional theory data (GGA-PBEsol) for SrReBr4 after structural relaxation.

Cell: 6.2797 6.2797 6.2797 Å, 60.00 60.00 60.00°
Last column: nearest neighbours and their distance in Å.
Element x y z (fractional)
Br 0.3754 0.8739 0.3754  6 Br 3.13-3.15
Br 0.8739 0.3754 0.3754  6 Br 3.13-3.15
Br 0.3754 0.3754 0.8739  6 Br 3.13-3.15
Br 0.3754 0.3754 0.3754  6 Br 3.13-3.15
Re 0.7500 0.7500 0.7500  12 Br 3.68, 4 Sr 3.85
Sr 0.0000 0.0000 0.0000  12 Br 3.68, 4 Re 3.85

**Energy relative to the elements, uncorrected**: 4.17 eV/f.u.
**Space group**: F-43m
**Magnetic moment**: 0.754 μB per atom

***

Density functional theory data (GGA-PBEsol) for SrRe2Br after structural relaxation.

Cell: 2.7978 5.2938 5.9786 Å, 116.28 90.00 90.00°
Last column: nearest neighbours and their distance in Å.
Element x y z (fractional)
Re 0.0000 0.0000 0.5000  4 Re 2.65-2.80
Re 0.0000 0.5000 0.5000  4 Re 2.65-2.80
Br 0.5000 0.5000 0.0000  2 Sr 2.65, 2 Br 2.80
Sr 0.5000 0.0000 0.0000  2 Br 2.65, 2 Sr 2.80

**Energy relative to the elements, uncorrected**: 5.12 eV/f.u.
**Space group**: Cmmm
**Magnetic moment**: 0.000 μB per atom